Entry 1:
Ac4GePt2 PBE relaxed; DFT total energy = -5.6303 eV/atom
1.0
2.219 -7.214 0.000
2.219 7.214 0.000
0.000 0.000 14.823
Ac Ge Pt
8 2 4
Direct
0.000 0.000 0.000
0.000 0.000 0.500
0.272 0.728 0.619
0.272 0.728 0.881
0.458 0.542 0.250
0.542 0.458 0.750
0.728 0.272 0.119
0.728 0.272 0.381
0.116 0.884 0.250
0.884 0.116 0.750
0.367 0.633 0.063
0.367 0.633 0.437
0.633 0.367 0.563
0.633 0.367 0.937

---

Entry 2:
ZrHg2Cl PBE relaxed; ΔE_f (raw) = -16 kJ per mole of atoms; polymorph energy (0 for the lowest one) = 142 kJ/mol of formula units
1.0
3.249 0.000 0.000
0.000 4.785 0.000
0.000 0.000 5.717
Zr Hg Cl
1 2 1
Direct
0.000 0.000 0.000
0.000 0.500 0.500
0.500 0.000 0.500
0.500 0.500 0.000

---

Entry 3:
ZrTl2Cu PBE relaxed; polymorph energy (0 for the lowest one) = 0 kJ/mol of formula units
1.0
4.440 0.000 0.000
0.000 4.440 0.000
0.000 0.000 4.267
Zr Tl Cu
1 2 1
Direct
0.000 0.000 0.000
0.000 0.500 0.500
0.500 0.000 0.500
0.500 0.500 0.000

---

no.,M_tot (μB/cell)
1,0.00
2,0.00
3,0.00